VASP calculation (PBE) on a relaxed structure of Sm2GdGa.

a = 5.393 Å, b = 5.393 Å, c = 5.393 Å
α = 60.00°, β = 60.00°, γ = 60.00°
Fractional positions:
Sm 0.250 0.250 0.250
Ga 0.000 0.000 0.000
Sm 0.750 0.750 0.750
Gd 0.500 0.500 0.500

## Properties
energy of formation: -0.112 eV/atom
SG: Fm-3m (225)
excess energy over the best structure of this formula in the dataset: 0.140 eV/atom
DFT total energy: -26.99 eV for the cell shown
total moment: 8.3 μB per formula unit
crystal system: cubic


VASP calculation (PBE) on a relaxed structure of Co2MoHIr.

a = 3.765 Å, b = 3.765 Å, c = 3.758 Å
α = 90.00°, β = 90.00°, γ = 90.00°
Fractional positions:
Co 0.000 0.500 0.000
Ir 0.000 0.000 0.500
Co 0.500 0.000 0.000
Mo 0.500 0.500 0.500
H 0.000 0.000 0.000

## Properties
SG: P4/mmm (123)
excess energy over the best structure of this formula in the dataset: 0.028 eV/atom
DFT total energy: -37.20 eV for the cell shown
total moment: 0.7 μB per formula unit
crystal system: tetragonal